Material: InMo2As
Method: DFT, PBE-GGA
State: optimized geometry

Structure (CIF):
```
data_InMo2As
_cell_length_a 4.6229
_cell_length_b 3.0820
_cell_length_c 10.1006
_cell_angle_alpha 90.00
_cell_angle_beta 90.00
_cell_angle_gamma 90.00
_space_group_name_H-M_alt 'A m m 2'
_space_group_IT_number 38
loop_
_space_group_symop_operation_xyz
'x,y,z'
'-x,-y,z'
'-x,y,z'
'x,-y,z'
'x,y+1/2,z+1/2'
'-x,-y+1/2,z+1/2'
'-x,y+1/2,z+1/2'
'x,-y+1/2,z+1/2'
loop_
_atom_site_label
_atom_site_type_symbol
_atom_site_fract_x
_atom_site_fract_y
_atom_site_fract_z
In1 In 0.0000 0.0000 0.0000
Mo1 Mo 0.0000 0.0000 0.2626
Mo2 Mo 0.5000 0.0000 0.6592
As1 As 0.5000 0.0000 0.3636
```

## Properties
Spin magnetization (μB/cell): 0.00
Energy relative to the elements (meV per atom): 251
Polymorph energy (0 for the lowest one) (eV/atom): 0.218
Total DFT energy (no corrections) (eV per formula unit): -28.0